(1)
DFT (PBE) results for a relaxed structure of Pm3Ge3Au8.

a b c (Å): 8.4201 8.4201 9.0783
angles (deg): 120.42 120.42 32.50
Fractional positions:
Pm1 0.0000 0.0000 0.0000
Pm2 0.2948 0.2948 0.2851
Pm3 0.7052 0.7052 0.7149
Ge1 0.0000 0.0000 0.5000
Ge2 0.3349 0.3349 0.6880
Ge3 0.6651 0.6651 0.3120
Au1 0.1339 0.1339 0.8429
Au2 0.1445 0.1445 0.4246
Au3 0.3500 0.3500 0.9773
Au4 0.4939 0.4939 0.6676
Au5 0.5061 0.5061 0.3324
Au6 0.6500 0.6500 0.0227
Au7 0.8555 0.8555 0.5754
Au8 0.8661 0.8661 0.1571

Energy of formation from the pure elements ... -574 meV/atom
Offset from the most stable computed form ... 0.0 meV per atom

***

(2)
DFT (PBE) results for a relaxed structure of KRb2InF4.

a b c (Å): 6.8765 3.9728 6.8818
angles (deg): 90.00 109.05 90.00
Fractional positions:
K1 0.0000 0.0000 0.0000
Rb1 0.5000 0.0000 0.5000
Rb2 0.5000 0.5000 0.0000
In1 0.0000 0.5000 0.5000
F1 0.2379 0.5000 0.2445
F2 0.2431 0.0000 0.7534
F3 0.7569 0.0000 0.2466
F4 0.7621 0.5000 0.7555

Formation energy (no corrections) ... -55.35 kcal/mol of atoms

***

(3)
DFT (PBE) results for a relaxed structure of Sc4Pt5Pb.

a b c (Å): 3.2975 3.2975 17.2303
angles (deg): 90.00 90.00 90.00
Fractional positions:
Sc1 0.0000 0.0000 0.0975
Sc2 0.0000 0.0000 0.2929
Sc3 0.0000 0.0000 0.7071
Sc4 0.0000 0.0000 0.9025
Pt1 0.5000 0.5000 0.0000
Pt2 0.5000 0.5000 0.1918
Pt3 0.5000 0.5000 0.3756
Pt4 0.5000 0.5000 0.6244
Pt5 0.5000 0.5000 0.8082
Pb1 0.0000 0.0000 0.5000

Energy of formation from the pure elements ... -1053 meV/atom

***

(4)
DFT (PBE) results for a relaxed structure of RbMgHg4.

a b c (Å): 6.3462 6.3462 6.3462
angles (deg): 60.00 60.00 60.00
Fractional positions:
Rb1 0.0000 0.0000 0.0000
Mg1 0.2500 0.2500 0.2500
Hg1 0.1267 0.6244 0.6244
Hg2 0.6244 0.1267 0.6244
Hg3 0.6244 0.6244 0.1267
Hg4 0.6244 0.6244 0.6244

Energy of formation from the pure elements ... -43 meV/atom
Offset from the most stable computed form ... 73.0 meV per atom

***

(5)
DFT (PBE) results for a relaxed structure of Pm2ErTe2S2.

a b c (Å): 5.0192 5.0192 15.9916
angles (deg): 90.00 90.00 90.00
Fractional positions:
Pm1 0.0000 0.0000 0.1151
Pm2 0.0000 0.0000 0.8849
Pm3 0.5000 0.5000 0.3849
Pm4 0.5000 0.5000 0.6151
Er1 0.0000 0.0000 0.5000
Er2 0.5000 0.5000 0.0000
Te1 0.0000 0.0000 0.3138
Te2 0.0000 0.0000 0.6862
Te3 0.5000 0.5000 0.1862
Te4 0.5000 0.5000 0.8138
S1 0.0000 0.5000 0.0000
S2 0.0000 0.5000 0.5000
S3 0.5000 0.0000 0.0000
S4 0.5000 0.0000 0.5000

Formation energy (no corrections) ... -34.25 kcal/mol of atoms

***

(6)
DFT (PBE) results for a relaxed structure of ZrBRu3.

a b c (Å): 5.5111 5.5111 6.9155
angles (deg): 124.47 124.47 63.47
Fractional positions:
Zr1 0.0000 0.0000 0.0000
Zr2 0.1057 0.1057 0.6576
B1 0.5578 0.5578 0.3213
B2 0.7685 0.7685 0.2921
Ru1 0.0356 0.5094 0.5068
Ru2 0.0844 0.5816 0.1394
Ru3 0.4910 0.4910 0.9497
Ru4 0.5094 0.0356 0.5068
Ru5 0.5816 0.0844 0.1394
Ru6 0.5984 0.5984 0.6681

Energy of formation from the pure elements ... -342 meV/atom

***

(7)
DFT (PBE) results for a relaxed structure of CrPSe3.

a b c (Å): 4.8288 4.8288 4.8288
angles (deg): 90.00 90.00 90.00
Fractional positions:
Cr1 0.0000 0.0000 0.0000
P1 0.5000 0.5000 0.5000
Se1 0.0000 0.5000 0.5000
Se2 0.5000 0.0000 0.5000
Se3 0.5000 0.5000 0.0000

Formation energy (no corrections) ... 12.88 kcal/mol of atoms
Offset from the most stable computed form ... 825.8 meV per atom

***

(8)
DFT (PBE) results for a relaxed structure of SmHo2NpSb4.

a b c (Å): 7.6188 4.4029 7.6291
angles (deg): 90.00 109.37 90.00
Fractional positions:
Sm1 0.0000 0.0000 0.0000
Ho1 0.5000 0.0000 0.5000
Ho2 0.5000 0.5000 0.0000
Np1 0.0000 0.5000 0.5000
Sb1 0.2539 0.0000 0.7493
Sb2 0.2547 0.5000 0.2545
Sb3 0.7453 0.5000 0.7455
Sb4 0.7461 0.0000 0.2507

Formation energy (no corrections) ... -20.55 kcal/mol of atoms

***

| no. | energy (eV per formula unit) |
| --- | --- |
| 1 | -62.4 |
| 2 | -32.5 |
| 3 | -69.8 |
| 4 | -4.0 |
| 5 | -39.0 |
| 6 | -44.8 |
| 7 | -22.7 |
| 8 | -50.4 |